SiGe2Pd8 | Alexandria via LeMat-Bulk | PBE | relaxed; total moment = 0.00 μB/atom; formation energy from raw total energies = -0.50 eV per atom; density of states at the Fermi level = 3.2 states/eV/cell
1.0
4.1549 0.0000 0.0000
0.0000 5.7352 0.0450
-2.0775 -2.4041 7.0151
Pd Ge Si
8 2 1
Direct
0.2036 0.3028 0.4072
0.4060 0.5602 0.8120
0.3391 0.0348 0.6783
0.7964 0.6972 0.5928
0.5940 0.4398 0.1880
0.9755 0.2174 0.9511
0.0245 0.7826 0.0489
0.6609 0.9652 0.3217
0.1785 0.7018 0.3569
0.8215 0.2982 0.6431
0.5000 0.0000 0.0000